1.
SrSi2Rh: relaxed, PBE-GGA.

Output
N(E_F): 2.5 states/eV/f.u.
formation energy (no corrections): -0.653 eV per atom
magnetization: 0.0 μB/f.u.

Unit cell a=4.100 b=4.100 c=6.057 alpha=70.27 beta=70.27 gamma=59.95
Fractional coordinates of all 4 atoms:
Sr1 0.250 0.250 0.250
Si1 0.044 0.044 0.868
Si2 0.456 0.456 0.632
Rh1 0.750 0.750 0.750

2.
Na2Dy5Hg12: relaxed, PBE-GGA.

Output
formation energy from the elements: -4.61 eV per formula unit
N(E_F): 11.8 states/eV/f.u.
magnetization: 0.0 μB/f.u.

Unit cell a=9.925 b=8.718 c=9.084 alpha=121.71 beta=90.00 gamma=124.70
Fractional coordinates of all 19 atoms:
Na1 0.747 0.000 0.000
Na2 0.253 0.000 0.000
Dy1 0.281 0.562 0.639
Dy2 0.268 0.536 0.214
Dy3 0.000 0.000 0.500
Dy4 0.732 0.464 0.786
Dy5 0.719 0.438 0.361
Hg1 0.039 0.079 0.203
Hg2 0.030 0.392 0.840
Hg3 0.363 0.392 0.840
Hg4 0.157 0.767 0.542
Hg5 0.610 0.767 0.542
Hg6 0.556 0.112 0.875
Hg7 0.444 0.888 0.125
Hg8 0.843 0.233 0.458
Hg9 0.390 0.233 0.458
Hg10 0.970 0.608 0.160
Hg11 0.637 0.608 0.160
Hg12 0.961 0.921 0.797

3.
LaNd2Cd2: relaxed, PBE-GGA.

Output
formation energy from the elements: -1.28 eV per formula unit
distance to the lowest polymorph of the same formula: 0.000 eV/atom
N(E_F): 6.5 states/eV/f.u.
magnetization: 0.0 μB/f.u.

Unit cell a=3.879 b=5.591 c=14.305 alpha=90.00 beta=97.82 gamma=90.00
Fractional coordinates of all 10 atoms:
La1 0.852 0.750 0.706
La2 0.148 0.250 0.294
Nd1 0.047 0.750 0.094
Nd2 0.953 0.250 0.906
Nd3 0.236 0.750 0.473
Nd4 0.764 0.250 0.527
Cd1 0.642 0.750 0.284
Cd2 0.358 0.250 0.716
Cd3 0.451 0.750 0.903
Cd4 0.549 0.250 0.097

4.
Tb3Ag2Pt: relaxed, PBE-GGA.

Output
formation energy from the elements: -3.77 eV per formula unit
distance to the lowest polymorph of the same formula: 0.000 eV/atom
N(E_F): 3.6 states/eV/f.u.
magnetization: 0.0 μB/f.u.

Unit cell a=5.077 b=5.077 c=6.236 alpha=90.00 beta=90.00 gamma=120.00
Fractional coordinates of all 6 atoms:
Tb1 0.000 0.000 0.500
Tb2 0.667 0.333 0.852
Tb3 0.333 0.667 0.148
Ag1 0.667 0.333 0.359
Ag2 0.333 0.667 0.641
Pt1 0.000 0.000 0.000

5.
Pu5PdRu: relaxed, PBE-GGA.

Output
formation energy from the elements: -0.19 eV per formula unit
N(E_F): 31.9 states/eV/f.u.
magnetization: 5.0 μB/f.u.

Unit cell a=4.939 b=4.896 c=6.583 alpha=90.00 beta=90.00 gamma=90.00
Fractional coordinates of all 7 atoms:
Pu1 0.000 0.500 0.775
Pu2 0.000 0.500 0.225
Pu3 0.500 0.000 0.770
Pu4 0.500 0.000 0.230
Pu5 0.500 0.500 0.500
Pd1 0.000 0.000 0.500
Ru1 0.500 0.500 0.000

6.
CaRhSe2: relaxed, PBE-GGA.

Output
distance to the lowest polymorph of the same formula: 0.081 eV/atom
N(E_F): 1.0 states/eV/f.u.
formation energy (no corrections): -0.831 eV per atom
magnetization: 0.0 μB/f.u.

Unit cell a=3.842 b=4.881 c=4.872 alpha=78.22 beta=90.00 gamma=90.00
Fractional coordinates of all 4 atoms:
Ca1 0.500 0.250 0.250
Rh1 0.500 0.750 0.750
Se1 0.000 0.954 0.954
Se2 0.000 0.546 0.546